No. 1
Below is a geometry-optimized ZrFeRe structure, with properties calculated at the PBE-GGA level.

The energy above the most stable polymorph in this dataset comes out at 1470 meV/atom. Its density is 9.43 g/cm³. The calculation puts the density of states at the Fermi level at 13.200 states/eV per cell. The value obtained for the formation energy is 3.6 eV/f.u. Its crystal system is cubic.

```
data_ZrFeRe
_symmetry_space_group_name_H-M 'F -4 3 m'
_symmetry_Int_Tables_number 216
_symmetry_space_group_name_Hall 'F -4 2 3'
_cell_length_a 6.169
_cell_length_b 6.169
_cell_length_c 6.169
_cell_angle_alpha 90.00
_cell_angle_beta 90.00
_cell_angle_gamma 90.00
loop_
_atom_site_label
_atom_site_type_symbol
_atom_site_fract_x
_atom_site_fract_y
_atom_site_fract_z
Zr1 Zr 0.000 0.000 0.000
Fe1 Fe 0.250 0.250 0.750
Re1 Re 0.250 0.250 0.250
```

=====

No. 2
Below is a geometry-optimized ZrSnOs2 structure, with properties calculated at the PBE-GGA level.

Its density is 14.18 g/cm³. The calculation puts the density of states at the Fermi level at 0.350 states/eV per cell. The value obtained for the formation energy is -0.6 eV/f.u. Its crystal system is tetragonal.

```
data_ZrSnOs2
_symmetry_space_group_name_H-M 'P 4/m m m'
_symmetry_Int_Tables_number 123
_symmetry_space_group_name_Hall '-P 4 2'
_cell_length_a 4.549
_cell_length_b 4.549
_cell_length_c 3.341
_cell_angle_alpha 90.00
_cell_angle_beta 90.00
_cell_angle_gamma 90.00
loop_
_atom_site_label
_atom_site_type_symbol
_atom_site_fract_x
_atom_site_fract_y
_atom_site_fract_z
Zr1 Zr 0.000 0.000 0.000
Sn1 Sn 0.500 0.500 0.000
Os1 Os 0.000 0.500 0.500
```

=====

No. 3
Below is a geometry-optimized ScIr2Rh structure, with properties calculated at the PBE-GGA level.

Its density is 14.39 g/cm³. The calculation puts the density of states at the Fermi level at 3.698 states/eV per cell. The value obtained for the formation energy is -2.0 eV/f.u. Its crystal system is orthorhombic.

```
data_ScIr2Rh
_symmetry_space_group_name_H-M 'P m m 2'
_symmetry_Int_Tables_number 25
_cell_length_a 2.858
_cell_length_b 4.478
_cell_length_c 4.802
_cell_angle_alpha 90.00
_cell_angle_beta 90.00
_cell_angle_gamma 90.00
loop_
_symmetry_equiv_pos_as_xyz
'x,y,z'
'-x,-y,z'
'-x,y,z'
'x,-y,z'
loop_
_atom_site_label
_atom_site_type_symbol
_atom_site_fract_x
_atom_site_fract_y
_atom_site_fract_z
Sc1 Sc 0.000 0.000 0.000
Ir1 Ir 0.000 0.500 0.621
Ir2 Ir 0.500 0.000 0.501
Rh1 Rh 0.500 0.500 0.131
```

=====

No. 4
Below is a geometry-optimized DyCuHgPb structure, with properties calculated at the PBE-GGA level.

Its density is 11.36 g/cm³. The calculation puts the density of states at the Fermi level at 4.555 states/eV per cell. The value obtained for the formation energy is -0.6 eV/f.u. Its crystal system is cubic.

```
data_DyCuHgPb
_symmetry_space_group_name_H-M 'F -4 3 m'
_symmetry_Int_Tables_number 216
_symmetry_space_group_name_Hall 'F -4 2 3'
_cell_length_a 7.182
_cell_length_b 7.182
_cell_length_c 7.182
_cell_angle_alpha 90.00
_cell_angle_beta 90.00
_cell_angle_gamma 90.00
loop_
_atom_site_label
_atom_site_type_symbol
_atom_site_fract_x
_atom_site_fract_y
_atom_site_fract_z
Dy1 Dy 0.000 0.000 0.000
Cu1 Cu 0.250 0.250 0.250
Hg1 Hg 0.250 0.250 0.750
Pb1 Pb 0.000 0.000 0.500
```

=====

No. 5
Below is a geometry-optimized NdHo4Au5 structure, with properties calculated at the PBE-GGA level.

Its density is 12.64 g/cm³. The calculation puts the density of states at the Fermi level at 4.275 states/eV per cell. The value obtained for the formation energy is -8.5 eV/f.u. Its crystal system is tetragonal.

```
data_NdHo4Au5
_symmetry_space_group_name_H-M 'P 4/m m m'
_symmetry_Int_Tables_number 123
_symmetry_space_group_name_Hall '-P 4 2'
_cell_length_a 3.578
_cell_length_b 3.578
_cell_length_c 18.354
_cell_angle_alpha 90.00
_cell_angle_beta 90.00
_cell_angle_gamma 90.00
loop_
_atom_site_label
_atom_site_type_symbol
_atom_site_fract_x
_atom_site_fract_y
_atom_site_fract_z
Nd1 Nd 0.000 0.000 0.000
Ho1 Ho 0.000 0.000 0.204
Ho2 Ho 0.000 0.000 0.401
Au1 Au 0.500 0.500 0.111
Au2 Au 0.500 0.500 0.303
Au3 Au 0.500 0.500 0.500
```

=====

No. 6
Below is a geometry-optimized Li3TmZn3 structure, with properties calculated at the PBE-GGA level.

Its density is 4.56 g/cm³. The calculation puts the density of states at the Fermi level at 9.873 states/eV per cell. The value obtained for the formation energy is 2.0 eV/f.u. Its crystal system is cubic.

```
data_Li3TmZn3
_symmetry_space_group_name_H-M 'P m -3 n'
_symmetry_Int_Tables_number 223
_symmetry_space_group_name_Hall '-P 4n 2 3'
_cell_length_a 6.552
_cell_length_b 6.552
_cell_length_c 6.552
_cell_angle_alpha 90.00
_cell_angle_beta 90.00
_cell_angle_gamma 90.00
loop_
_atom_site_label
_atom_site_type_symbol
_atom_site_fract_x
_atom_site_fract_y
_atom_site_fract_z
Li1 Li 0.000 0.250 0.500
Tm1 Tm 0.000 0.000 0.000
Zn1 Zn 0.000 0.500 0.250
```

=====

No. 7
Below is a geometry-optimized Tb6SmDy3Sc2 structure, with properties calculated at the PBE-GGA level.

Its density is 7.60 g/cm³. The calculation puts the density of states at the Fermi level at 32.545 states/eV per cell. The value obtained for the formation energy is 0.4 eV/f.u. Its crystal system is monoclinic.

```
data_Tb6SmDy3Sc2
_symmetry_space_group_name_H-M 'C 1 2/m 1'
_symmetry_Int_Tables_number 12
_cell_length_a 6.089
_cell_length_b 10.537
_cell_length_c 11.626
_cell_angle_alpha 90.00
_cell_angle_beta 100.00
_cell_angle_gamma 90.00
loop_
_symmetry_equiv_pos_as_xyz
'x,y,z'
'-x,-y,-z'
'-x,y,-z'
'x,-y,z'
'x+1/2,y+1/2,z'
'-x+1/2,-y+1/2,-z'
'-x+1/2,y+1/2,-z'
'x+1/2,-y+1/2,z'
loop_
_atom_site_label
_atom_site_type_symbol
_atom_site_fract_x
_atom_site_fract_y
_atom_site_fract_z
Tb1 Tb 0.246 0.000 0.246
Tb2 Tb 0.249 0.168 0.754
Sm1 Sm 0.000 0.500 0.000
Dy1 Dy 0.000 0.000 0.500
Dy2 Dy 0.000 0.333 0.500
Sc1 Sc 0.000 0.167 0.000
```

=====

No. 8
Below is a geometry-optimized MnAsP2 structure, with properties calculated at the PBE-GGA level.

Its density is 5.12 g/cm³. The calculation puts the density of states at the Fermi level at 2.035 states/eV per cell. The value obtained for the formation energy is 0.5 eV/f.u. Its crystal system is monoclinic.

```
data_MnAsP2
_symmetry_space_group_name_H-M 'P 1 2/m 1'
_symmetry_Int_Tables_number 10
_cell_length_a 3.676
_cell_length_b 4.274
_cell_length_c 4.012
_cell_angle_alpha 90.00
_cell_angle_beta 99.17
_cell_angle_gamma 90.00
loop_
_symmetry_equiv_pos_as_xyz
'x,y,z'
'-x,-y,-z'
'-x,y,-z'
'x,-y,z'
loop_
_atom_site_label
_atom_site_type_symbol
_atom_site_fract_x
_atom_site_fract_y
_atom_site_fract_z
Mn1 Mn 0.000 0.000 0.000
As1 As 0.500 0.000 0.500
P1 P 0.225 0.500 0.824
```

=====

No. 9
Below is a geometry-optimized TlHg2Ge structure, with properties calculated at the PBE-GGA level.

Its density is 10.66 g/cm³. The calculation puts the density of states at the Fermi level at 8.071 states/eV per cell. The value obtained for the formation energy is 0.8 eV/f.u. Its crystal system is tetragonal.

```
data_TlHg2Ge
_symmetry_space_group_name_H-M 'I -4 2 d'
_symmetry_Int_Tables_number 122
_symmetry_space_group_name_Hall 'I -4 2bw'
_cell_length_a 4.357
_cell_length_b 4.357
_cell_length_c 22.261
_cell_angle_alpha 90.00
_cell_angle_beta 90.00
_cell_angle_gamma 90.00
loop_
_atom_site_label
_atom_site_type_symbol
_atom_site_fract_x
_atom_site_fract_y
_atom_site_fract_z
Tl1 Tl 0.000 0.000 0.000
Hg1 Hg 0.239 0.250 0.625
Ge1 Ge 0.000 0.000 0.500
```

=====

No. 10
Below is a geometry-optimized LiYMo2 structure, with properties calculated at the PBE-GGA level.

The energy above the most stable polymorph in this dataset comes out at 313 meV/atom. Its density is 6.52 g/cm³. The calculation puts the density of states at the Fermi level at 9.223 states/eV per cell. The value obtained for the formation energy is 2.3 eV/f.u. Its crystal system is orthorhombic.

```
data_LiYMo2
_symmetry_space_group_name_H-M 'C m m m'
_symmetry_Int_Tables_number 65
_symmetry_space_group_name_Hall '-C 2 2'
_cell_length_a 5.441
_cell_length_b 9.806
_cell_length_c 2.749
_cell_angle_alpha 90.00
_cell_angle_beta 90.00
_cell_angle_gamma 90.00
loop_
_atom_site_label
_atom_site_type_symbol
_atom_site_fract_x
_atom_site_fract_y
_atom_site_fract_z
Li1 Li 0.000 0.000 0.000
Y1 Y 0.000 0.500 0.000
Mo1 Mo 0.250 0.250 0.500
```